[1]
# PBE-GGA AcTe2PtO8, relaxed
data_AcTe2PtO8
_chemical_formula_sum 'Ac1 Te2 Pt1 O8'
_cell_length_a 6.3912
_cell_length_b 6.3912
_cell_length_c 6.3912
_cell_angle_alpha 108.84
_cell_angle_beta 108.84
_cell_angle_gamma 110.75
_space_group_name_H-M_alt 'P 1'
_space_group_IT_number 1
loop_
_space_group_symop_operation_xyz
'x,y,z'
loop_
_atom_site_label
_atom_site_type_symbol
_atom_site_fract_x
_atom_site_fract_y
_atom_site_fract_z
Ac1 Ac 0.0000 0.0000 0.0000
Te1 Te 0.5000 0.5000 0.0000
Te2 Te 0.7500 0.2500 0.5000
Pt1 Pt 0.2500 0.7500 0.5000
O1 O 0.3207 0.1202 0.7995
O2 O 0.3207 0.5212 0.2005
O3 O 0.4015 0.0899 0.3116
O4 O 0.4788 0.6793 0.7995
O5 O 0.7783 0.0899 0.6884
O6 O 0.8798 0.6793 0.2005
O7 O 0.9101 0.2217 0.3116
O8 O 0.9101 0.5985 0.6884
# ΔE_f (raw) = -1.045 eV/atom
# ρ = 6.66 g cm⁻³
# Magnetic moment = 0.87 Bohr magnetons per cell



[2]
# PBE-GGA Mg2SiPt, relaxed
data_Mg2SiPt
_chemical_formula_sum 'Mg2 Si1 Pt1'
_cell_length_a 3.1680
_cell_length_b 3.2731
_cell_length_c 7.0699
_cell_angle_alpha 90.00
_cell_angle_beta 90.00
_cell_angle_gamma 90.00
_space_group_name_H-M_alt 'P 1'
_space_group_IT_number 1
loop_
_space_group_symop_operation_xyz
'x,y,z'
loop_
_atom_site_label
_atom_site_type_symbol
_atom_site_fract_x
_atom_site_fract_y
_atom_site_fract_z
Mg1 Mg 0.0000 0.0000 0.0000
Mg2 Mg 0.5000 0.5000 0.3274
Si1 Si 0.5000 0.5000 0.7387
Pt1 Pt 0.0000 0.0000 0.5881
# ΔE_f (raw) = -0.346 eV/atom
# ρ = 6.16 g cm⁻³
# Magnetic moment = 0.00 Bohr magnetons per cell